Compound: AgSnSeBr2
Source: Alexandria via LeMat-Bulk
Functional: PBE
Structure: optimized geometry

Geometry as POSCAR:
```
AgSnSeBr2
1.0
-2.886 -1.770 -3.922
-3.591 -1.612 3.369
-2.440 4.728 -0.338
Br Se Sn Ag
2 1 1 1
direct
0.000 0.500 0.000
0.500 0.000 0.000
0.000 0.000 0.500
0.500 0.500 0.500
0.000 0.000 0.000
```

**Magnetic moment**: 0.00 μB per cell
**Energy relative to the elements, uncorrected**: -0.1 eV per formula unit
**Distance to the lowest polymorph of the same formula**: 0.0000 eV/atom